No. 1
## LiPmHoGe (PBE)

Data for LiPmHoGe after structural relaxation.

Unit cell a=5.074 b=5.074 c=5.074 alpha=60.00 beta=60.00 gamma=60.00
Fractional positions:
Li 0.000 0.000 0.000
Pm 0.250 0.250 0.250
Ho 0.750 0.750 0.750
Ge 0.500 0.500 0.500

Properties
Symmetry ... F-43m (216)
Formation energy ... -414 meV per atom
N(E_F) ... 0.56 states/eV per atom

***

No. 2
## TaZnAs2 (PBE)

Data for TaZnAs2 after structural relaxation.

Unit cell a=5.481 b=5.481 c=5.481 alpha=139.54 beta=139.54 gamma=58.56
Fractional positions:
Ta 0.000 0.000 0.000
Zn 0.250 0.750 0.500
As 0.500 0.500 0.000
As 0.750 0.250 0.500

Properties
Symmetry ... I-4m2 (119)
Formation energy ... 114 meV per atom
N(E_F) ... 0.47 states/eV per atom

***

No. 3
## Pm5BeS4 (PBE)

Data for Pm5BeS4 after structural relaxation.

Unit cell a=7.018 b=7.018 c=7.018 alpha=99.54 beta=99.54 gamma=131.95
Fractional positions:
Pm 0.000 0.000 0.000
Pm 0.201 0.600 0.801
Pm 0.400 0.201 0.602
Pm 0.600 0.799 0.398
Pm 0.799 0.400 0.199
Be 0.500 0.500 0.000
S 0.099 0.302 0.401
S 0.302 0.901 0.203
S 0.698 0.099 0.797
S 0.901 0.698 0.599

Properties
Symmetry ... I4/m (87)
E_form (uncorrected) ... -1617 meV/atom
N(E_F) ... 0.33 states/eV per atom

***

No. 4
## Tm8BiSb5 (PBE)

Data for Tm8BiSb5 after structural relaxation.

Unit cell a=7.891 b=7.891 c=7.891 alpha=109.38 beta=109.38 gamma=109.65
Fractional positions:
Tm 0.027 0.125 0.755
Tm 0.234 0.481 0.604
Tm 0.370 0.272 0.245
Tm 0.370 0.766 0.248
Tm 0.519 0.122 0.752
Tm 0.728 0.973 0.097
Tm 0.875 0.630 0.903
Tm 0.878 0.630 0.396
Bi 0.750 0.250 0.500
Sb 0.128 0.004 0.377
Sb 0.249 0.872 0.876
Sb 0.500 0.500 0.000
Sb 0.627 0.751 0.623
Sb 0.996 0.373 0.124

Properties
Symmetry ... I-4 (82)
E_form (uncorrected) ... -870 meV/atom
N(E_F) ... 0.98 states/eV per atom

***

No. 5
## La2ZnNi10 (PBE)

Data for La2ZnNi10 after structural relaxation.

Unit cell a=5.110 b=11.198 c=7.595 alpha=90.00 beta=118.41 gamma=90.00
Fractional positions:
La 0.040 0.106 0.322
La 0.040 0.394 0.822
La 0.960 0.606 0.178
La 0.960 0.894 0.678
Zn 0.500 0.000 0.000
Zn 0.500 0.500 0.500
Ni 0.173 0.663 0.619
Ni 0.173 0.837 0.119
Ni 0.237 0.163 0.786
Ni 0.237 0.337 0.286
Ni 0.321 0.675 0.975
Ni 0.321 0.825 0.475
Ni 0.416 0.188 0.145
Ni 0.416 0.312 0.645
Ni 0.488 0.013 0.669
Ni 0.488 0.487 0.169
Ni 0.512 0.513 0.831
Ni 0.512 0.987 0.331
Ni 0.584 0.688 0.355
Ni 0.584 0.812 0.855
Ni 0.679 0.175 0.525
Ni 0.679 0.325 0.025
Ni 0.763 0.663 0.714
Ni 0.763 0.837 0.214
Ni 0.827 0.163 0.881
Ni 0.827 0.337 0.381

Properties
Symmetry ... P2_1/c (14)
Formation energy ... -63 meV per atom
N(E_F) ... 1.56 states/eV per atom

***

No. 6
## Tb2CePm4Nd (PBE)

Data for Tb2CePm4Nd after structural relaxation.

Unit cell a=6.256 b=3.614 c=12.033 alpha=90.00 beta=100.04 gamma=90.00
Fractional positions:
Tb 0.000 0.000 0.000
Tb 0.000 0.500 0.500
Ce 0.500 0.000 0.500
Pm 0.251 0.000 0.747
Pm 0.253 0.500 0.253
Pm 0.747 0.500 0.747
Pm 0.749 0.000 0.253
Nd 0.500 0.500 0.000

Properties
Symmetry ... P2/m (10)
Formation energy ... 46 meV per atom
N(E_F) ... 1.92 states/eV per atom